No. 1
# PuThRh4

An optimized crystal structure of PuThRh4 (GGA-PBE, Alexandria). Values from VASP.

Results
Formation energy from the elements   -0.64 eV/atom
Space-group type   F-43m
M_tot   5.23 μB/cell

The structure in Quantum ESPRESSO input format:
```
&SYSTEM
  ibrav = 0, nat = 6, ntyp = 3
/
ATOMIC_SPECIES
Rh 102.91 Rh.upf
Th 232.04 Th.upf
Pu 244.00 Pu.upf
CELL_PARAMETERS angstrom
5.381 0.000 0.000
2.690 4.660 0.000
2.690 1.553 4.393
ATOMIC_POSITIONS crystal
Rh 0.626 0.626 0.626
Rh 0.626 0.123 0.626
Th 0.250 0.250 0.250
Pu 0.000 0.000 0.000
Rh 0.123 0.626 0.626
Rh 0.626 0.626 0.123
```

No. 2
# Pu2ThRh

An optimized crystal structure of Pu2ThRh (GGA-PBE, Alexandria). Values from VASP.

Results
Excess energy over the best structure of this formula in the dataset   0.000 eV per atom
Formation energy from the elements   -0.17 eV/atom
Space-group type   P4/mmm
M_tot   10.38 μB/cell

The structure in Quantum ESPRESSO input format:
```
&SYSTEM
  ibrav = 0, nat = 4, ntyp = 3
/
ATOMIC_SPECIES
Rh 102.91 Rh.upf
Th 232.04 Th.upf
Pu 244.00 Pu.upf
CELL_PARAMETERS angstrom
-3.431 -0.727 0.694
0.075 -2.648 -2.400
2.084 -4.759 5.316
ATOMIC_POSITIONS crystal
Rh 0.500 0.500 0.000
Th 0.500 0.500 0.500
Pu 0.000 0.000 0.794
Pu 0.000 0.000 0.206
```

No. 3
# Pu2ThRh

An optimized crystal structure of Pu2ThRh (GGA-PBE, Alexandria). Values from VASP.

Results
Excess energy over the best structure of this formula in the dataset   0.305 eV per atom
Formation energy from the elements   0.13 eV/atom
Space-group type   R-3m
M_tot   11.58 μB/cell

The structure in Quantum ESPRESSO input format:
```
&SYSTEM
  ibrav = 0, nat = 4, ntyp = 3
/
ATOMIC_SPECIES
Pu 244.00 Pu.upf
Th 232.04 Th.upf
Rh 102.91 Rh.upf
CELL_PARAMETERS angstrom
3.470 0.000 0.000
1.735 3.005 0.000
1.735 1.002 10.277
ATOMIC_POSITIONS crystal
Pu 0.103 0.103 0.690
Pu 0.897 0.897 0.310
Th 0.000 0.000 0.000
Rh 0.500 0.500 0.500
```

No. 4
# Pu3ThRh6

An optimized crystal structure of Pu3ThRh6 (GGA-PBE, Alexandria). Values from VASP.

Results
Formation energy from the elements   -0.48 eV/atom
Space-group type   P2_1/m
M_tot   9.87 μB/cell

The structure in Quantum ESPRESSO input format:
```
&SYSTEM
  ibrav = 0, nat = 20, ntyp = 3
/
ATOMIC_SPECIES
Rh 102.91 Rh.upf
Pu 244.00 Pu.upf
Th 232.04 Th.upf
CELL_PARAMETERS angstrom
-0.248 -3.122 -3.033
-4.258 -5.284 5.787
-7.886 4.622 -4.112
ATOMIC_POSITIONS crystal
Rh 0.750 0.850 0.791
Pu 0.250 0.359 0.825
Rh 0.250 0.634 0.684
Rh 0.250 0.442 0.108
Pu 0.250 0.776 0.966
Pu 0.250 0.553 0.395
Pu 0.750 0.641 0.175
Rh 0.750 0.558 0.892
Rh 0.250 0.066 0.909
Rh 0.250 0.150 0.209
Pu 0.750 0.447 0.605
Th 0.250 0.941 0.629
Pu 0.750 0.224 0.034
Rh 0.750 0.366 0.316
Rh 0.750 0.159 0.717
Rh 0.250 0.252 0.513
Rh 0.750 0.748 0.487
Th 0.750 0.059 0.371
Rh 0.250 0.841 0.283
Rh 0.750 0.934 0.091
```

No. 5
# PuThRh

An optimized crystal structure of PuThRh (GGA-PBE, Alexandria). Values from VASP.

Results
Excess energy over the best structure of this formula in the dataset   0.103 eV per atom
Formation energy from the elements   -0.26 eV/atom
Space-group type   F-43m
M_tot   6.34 μB/cell

The structure in Quantum ESPRESSO input format:
```
&SYSTEM
  ibrav = 0, nat = 3, ntyp = 3
/
ATOMIC_SPECIES
Rh 102.91 Rh.upf
Pu 244.00 Pu.upf
Th 232.04 Th.upf
CELL_PARAMETERS angstrom
4.869 0.000 0.000
2.434 4.217 0.000
2.434 1.406 3.975
ATOMIC_POSITIONS crystal
Rh 0.250 0.250 0.250
Pu 0.000 0.000 0.000
Th 0.500 0.500 0.500
```

No. 6
# PuThRh3

An optimized crystal structure of PuThRh3 (GGA-PBE, Alexandria). Values from VASP.

Results
Formation energy from the elements   -0.47 eV/atom
Space-group type   Imma
M_tot   18.59 μB/cell

The structure in Quantum ESPRESSO input format:
```
&SYSTEM
  ibrav = 0, nat = 20, ntyp = 3
/
ATOMIC_SPECIES
Pu 244.00 Pu.upf
Rh 102.91 Rh.upf
Th 232.04 Th.upf
CELL_PARAMETERS angstrom
-5.143 2.080 -2.565
1.720 -4.271 -6.912
-4.181 -6.594 3.035
ATOMIC_POSITIONS crystal
Pu 0.000 0.009 0.250
Rh 0.250 0.250 0.083
Pu 0.500 0.491 0.250
Th 0.500 0.000 0.500
Rh 0.250 0.750 0.917
Th 0.000 0.500 0.000
Pu 0.000 0.991 0.750
Th 0.000 0.500 0.500
Rh 0.750 0.250 0.417
Rh 0.750 0.250 0.083
Rh 0.250 0.750 0.250
Rh 0.250 0.250 0.417
Th 0.500 0.000 0.000
Rh 0.250 0.250 0.750
Rh 0.750 0.750 0.917
Rh 0.250 0.750 0.583
Rh 0.750 0.750 0.250
Rh 0.750 0.250 0.750
Pu 0.500 0.509 0.750
Rh 0.750 0.750 0.583
```

Number 5 is which compound? PuThRh

Look up the formation energy from the elements of the second one. -0.17 eV/atom

formation energy from the elements of number 5 (PuThRh)? -0.26 eV/atom